1.
The following is a PBE-GGA calculation of an optimized crystal structure of CaIn2SiO6, from the Alexandria database.

Calculated values
Space group   R3 (146)
Final energy   -6.383 eV/atom
Crystal system   trigonal
Density of states at the Fermi level   0.000 states/eV per cell

a = 5.373 Å, b = 5.373 Å, c = 5.705 Å
α = 61.91°, β = 61.91°, γ = 60.00°
Fractional positions:
O 0.140 0.402 0.786
O 0.672 0.140 0.786
O 0.402 0.672 0.786
O 0.558 0.230 0.234
O 0.979 0.558 0.234
O 0.230 0.979 0.234
Si 0.323 0.323 0.030
In 0.532 0.532 0.405
In 0.021 0.021 0.938
Ca 0.806 0.806 0.583

***

2.
The following is a PBE-GGA calculation of an optimized crystal structure of CaSm2InO, from the Alexandria database.

Calculated values
Space group   P4/mmm (123)
Final energy   -5.240 eV/atom
Crystal system   tetragonal
Density of states at the Fermi level   1.774 states/eV per cell

a = 4.848 Å, b = 4.923 Å, c = 4.923 Å
α = 90.00°, β = 90.00°, γ = 90.00°
Fractional positions:
Sm 0.000 0.000 0.500
Sm 0.000 0.500 0.000
O 0.000 0.000 0.000
Ca 0.500 0.000 0.000
In 0.500 0.500 0.500

***

3.
The following is a PBE-GGA calculation of an optimized crystal structure of CaIn2SnO6, from the Alexandria database.

Calculated values
Space group   R3 (146)
Final energy   -6.014 eV/atom
Crystal system   trigonal
Density of states at the Fermi level   0.000 states/eV per cell

a = 5.602 Å, b = 5.602 Å, c = 5.940 Å
α = 61.86°, β = 61.86°, γ = 60.00°
Fractional positions:
In 0.020 0.020 0.940
In 0.525 0.525 0.426
Sn 0.317 0.317 0.050
O 0.141 0.392 0.762
O 0.227 0.933 0.242
O 0.933 0.599 0.242
O 0.705 0.141 0.762
O 0.599 0.227 0.242
O 0.392 0.705 0.762
Ca 0.804 0.804 0.588

***

4.
The following is a PBE-GGA calculation of an optimized crystal structure of SrCaIn4O8, from the Alexandria database.

Calculated values
Space group   R3m (160)
Final energy   -5.785 eV/atom
Crystal system   trigonal

a = 6.696 Å, b = 6.696 Å, c = 6.718 Å
α = 60.11°, β = 60.11°, γ = 60.00°
Fractional positions:
In 0.619 0.619 0.144
In 0.003 0.492 0.502
In 0.003 0.003 0.502
In 0.492 0.003 0.502
O 0.242 0.242 0.715
O 0.236 0.236 0.292
O 0.226 0.750 0.273
O 0.750 0.226 0.273
O 0.801 0.242 0.715
O 0.242 0.801 0.715
O 0.755 0.755 0.735
O 0.750 0.750 0.273
Ca 0.002 0.002 0.995
Sr 0.379 0.379 0.864

***

5.
The following is a PBE-GGA calculation of an optimized crystal structure of Sr2CaInO, from the Alexandria database.

Calculated values
Space group   P4/mmm (123)
Final energy   -3.944 eV/atom
Crystal system   tetragonal
Density of states at the Fermi level   2.788 states/eV per cell

a = 5.349 Å, b = 5.349 Å, c = 4.726 Å
α = 90.00°, β = 90.00°, γ = 90.00°
Fractional positions:
In 0.500 0.500 0.500
Sr 0.500 0.000 0.000
Sr 0.000 0.500 0.000
O 0.000 0.000 0.000
Ca 0.000 0.000 0.500

***

6.
The following is a PBE-GGA calculation of an optimized crystal structure of Ca2InTcO6, from the Alexandria database.

Calculated values
Space group   P4mm (99)
Final energy   -6.642 eV/atom
Crystal system   tetragonal
Density of states at the Fermi level   1.941 states/eV per cell

a = 4.945 Å, b = 5.475 Å, c = 5.475 Å
α = 90.00°, β = 90.00°, γ = 90.00°
Fractional positions:
O 0.158 0.500 0.500
O 0.724 0.238 0.238
O 0.231 0.000 0.000
O 0.724 0.762 0.762
O 0.724 0.238 0.762
O 0.724 0.762 0.238
Ca 0.997 0.000 0.500
Ca 0.997 0.500 0.000
In 0.571 0.500 0.500
Tc 0.597 0.000 0.000